# 1
Crystalline Ba2PaAs2O2 at its relaxed geometry. Source: the Alexandria database, functional PBE-GGA.

abc: 4.530 4.530 9.153
angles: 104.33 104.33 90.00
Atoms (fractional coordinates):
Ba 0.360 0.360 0.721
Ba 0.640 0.640 0.279
Pa 0.000 0.000 0.000
As 0.167 0.167 0.334
As 0.833 0.833 0.666
O 0.000 0.500 0.000
O 0.500 0.000 0.000

ΔE_f (raw) ... -1.99 eV/atom
Calculated density ... 6.487 g cm⁻³
V ... 25.1 Å³/atom

=====

# 2
Crystalline PrSm4Y6 at its relaxed geometry. Source: the Alexandria database, functional PBE-GGA.

abc: 5.802 5.663 26.040
angles: 90.00 90.00 120.81
Atoms (fractional coordinates):
Pr 0.816 0.631 0.250
Pr 0.184 0.369 0.750
Sm 0.843 0.685 0.543
Sm 0.471 0.941 0.122
Sm 0.157 0.315 0.457
Sm 0.529 0.059 0.878
Sm 0.843 0.685 0.957
Sm 0.157 0.315 0.043
Sm 0.529 0.059 0.622
Sm 0.471 0.941 0.378
Y 0.500 0.000 0.000
Y 0.500 0.000 0.500
Y 0.144 0.288 0.319
Y 0.856 0.712 0.681
Y 0.856 0.712 0.819
Y 0.144 0.288 0.181
Y 0.811 0.623 0.398
Y 0.189 0.377 0.602
Y 0.189 0.377 0.898
Y 0.811 0.623 0.102
Y 0.481 0.962 0.250
Y 0.519 0.038 0.750

Polymorph energy (0 for the lowest one) ... 0.00 kcal/mol of atoms
Calculated density ... 5.766 g cm⁻³
V ... 33.4 Å³/atom

=====

# 3
Crystalline NaPrAu at its relaxed geometry. Source: the Alexandria database, functional PBE-GGA.

abc: 3.850 3.850 6.395
angles: 107.52 107.52 90.00
Atoms (fractional coordinates):
Pr 0.301 0.301 0.602
Na 0.021 0.021 0.041
Au 0.678 0.678 0.357

Polymorph energy (0 for the lowest one) ... 1.49 kcal/mol of atoms
Calculated density ... 6.987 g cm⁻³
V ... 28.6 Å³/atom

=====

# 4
Crystalline Cs2UPtO6 at its relaxed geometry. Source: the Alexandria database, functional PBE-GGA.

abc: 5.992 5.992 5.992
angles: 120.00 120.00 90.00
Atoms (fractional coordinates):
Cs 0.750 0.250 0.500
Cs 0.250 0.750 0.500
U 0.500 0.500 0.000
Pt 0.000 0.000 0.000
O 0.750 0.751 0.000
O 0.750 0.751 0.501
O 0.249 0.250 0.000
O 0.751 0.250 0.000
O 0.249 0.250 0.499
O 0.249 0.751 0.000

ΔE_f (raw) ... -1.81 eV/atom
Calculated density ... 8.677 g cm⁻³
V ... 15.2 Å³/atom

=====

# 5
Crystalline CrOs2Se at its relaxed geometry. Source: the Alexandria database, functional PBE-GGA.

abc: 4.934 4.934 4.417
angles: 85.56 85.56 33.51
Each line ends with the local moment (μB).
Atoms (fractional coordinates):
Cr 0.250 0.250 0.250  1.64
Os 0.970 0.970 0.021  -0.13
Os 0.530 0.530 0.479  -0.13
Se 0.750 0.750 0.750  -0.06

ΔE_f (raw) ... 0.41 eV/atom
Calculated density ... 14.354 g cm⁻³
V ... 14.8 Å³/atom

=====

# 6
Crystalline CaUZn2O6 at its relaxed geometry. Source: the Alexandria database, functional PBE-GGA.

abc: 5.579 5.580 5.970
angles: 62.12 62.13 60.00
Atoms (fractional coordinates):
Ca 0.816 0.816 0.551
U 0.316 0.316 0.052
Zn 0.534 0.534 0.398
Zn 0.098 0.098 0.705
O 0.522 0.244 0.307
O 0.245 0.926 0.307
O 0.926 0.522 0.307
O 0.388 0.706 0.796
O 0.706 0.110 0.796
O 0.110 0.388 0.796

ΔE_f (raw) ... -2.41 eV/atom
Calculated density ... 6.189 g cm⁻³
V ... 13.5 Å³/atom

=====

# 7
Crystalline ScCd11Ag at its relaxed geometry. Source: the Alexandria database, functional PBE-GGA.

abc: 5.856 7.583 7.608
angles: 81.41 67.37 67.15
Atoms (fractional coordinates):
Sc 0.000 0.000 0.000
Cd 0.296 0.212 0.209
Cd 0.704 0.788 0.791
Cd 0.495 0.788 0.209
Cd 0.505 0.212 0.791
Cd 0.352 0.650 0.656
Cd 0.648 0.350 0.344
Cd 0.992 0.350 0.656
Cd 0.008 0.650 0.344
Cd 0.000 0.500 0.000
Cd 0.500 0.000 0.500
Cd 0.000 0.000 0.500
Ag 0.500 0.500 0.000

DFT total energy ... -1.500 eV per atom
Calculated density ... 8.030 g cm⁻³
V ... 22.1 Å³/atom

=====

# 8
Crystalline FeSe7 at its relaxed geometry. Source: the Alexandria database, functional PBE-GGA.

abc: 6.088 6.088 6.088
angles: 60.00 60.00 60.00
Each line ends with the local moment (μB).
Atoms (fractional coordinates):
Fe 0.000 0.000 0.000  3.27
Se 0.500 0.500 0.000  0.06
Se 0.500 0.000 0.500  0.06
Se 0.500 0.000 0.000  0.06
Se 0.000 0.000 0.500  0.06
Se 0.000 0.500 0.000  0.06
Se 0.000 0.500 0.500  0.06
Se 0.500 0.500 0.500  0.00

ΔE_f (raw) ... 0.74 eV/atom
Calculated density ... 6.332 g cm⁻³
V ... 19.9 Å³/atom